{
  "formula": "Ag2WBr",
  "functional": "GGA-PBEsol",
  "state": "optimized geometry",
  "raw_formation_energy_mev_per_atom": 836.5,
  "de_polymorph_mev_per_atom": 266,
  "magnetic_moment_mub_per_cell": 0.00,
  "total_energy_ev_per_atom": -4.738,
  "rho_g_cm3": 11.327,
  "lattice": [[2.8519, 0.0000, 0.0000], [0.0000, 5.2547, 0.0000], [0.0000, -2.6273, 4.6906]],
  "species": ["W", "Br", "Ag", "Ag"],
  "frac_coords": [[0.5000, 0.0000, 0.0000], [0.5000, 0.5000, 0.0000], [0.0000, 0.5000, 0.5000], [0.0000, 0.0000, 0.5000]]
}

{
  "formula": "Ta5Ru3",
  "functional": "GGA-PBEsol",
  "state": "optimized geometry",
  "magnetic_moment_mub_per_cell": 0.00,
  "total_energy_ev_per_atom": -11.952,
  "rho_g_cm3": 15.812,
  "lattice": [[4.4728, 0.0000, 0.0000], [0.0000, 5.4800, -0.0114], [0.0000, -1.7902, 5.1793]],
  "species": ["Ta", "Ta", "Ta", "Ta", "Ta", "Ru", "Ru", "Ru"],
  "frac_coords": [[0.5000, 0.2507, 0.2507], [0.0000, 0.0000, 0.5000], [0.5000, 0.7493, 0.7493], [0.0000, 0.0000, 0.0000], [0.0000, 0.5000, 0.0000], [0.5000, 0.7450, 0.2550], [0.0000, 0.5000, 0.5000], [0.5000, 0.2550, 0.7450]]
}

{
  "formula": "CuAsPbN2",
  "functional": "GGA-PBEsol",
  "state": "optimized geometry",
  "raw_formation_energy_mev_per_atom": 2019.6,
  "magnetic_moment_mub_per_cell": 1.00,
  "total_energy_ev_per_atom": -4.079,
  "rho_g_cm3": 6.969,
  "lattice": [[4.2000, 0.0000, 0.0000], [0.0000, 4.2000, 0.0000], [0.0000, 0.0000, 5.0477]],
  "species": ["N", "N", "As", "Cu", "Pb"],
  "frac_coords": [[0.0000, 0.5000, 0.0000], [0.5000, 0.0000, 0.0000], [0.5000, 0.5000, 0.5000], [0.0000, 0.0000, 0.5000], [0.0000, 0.0000, 0.0000]]
}

{
  "formula": "ZnCdCu2",
  "functional": "GGA-PBEsol",
  "state": "optimized geometry",
  "magnetic_moment_mub_per_cell": 0.00,
  "total_energy_ev_per_atom": -2.837,
  "rho_g_cm3": 9.079,
  "lattice": [[-2.5150, -1.5289, 0.3656], [0.2680, -1.4162, -4.0786], [3.4115, -1.9694, 3.2020]],
  "species": ["Zn", "Cd", "Cu", "Cu"],
  "frac_coords": [[0.5168, 0.5168, 0.0336], [0.7462, 0.2462, 0.4925], [0.2533, 0.7533, 0.5067], [0.9836, 0.9836, 0.9672]]
}